# 1
# LuTePd2 (PBE-GGA, optimized geometry)
# - DFT total energy: -5.13 eV/atom
# - Crystal system: cubic
data_LuTePd2
_cell_length_a 6.8211
_cell_length_b 6.8211
_cell_length_c 6.8211
_cell_angle_alpha 90.00
_cell_angle_beta 90.00
_cell_angle_gamma 90.00
_symmetry_space_group_name_H-M 'F -4 3 m'
_symmetry_Int_Tables_number 216
_symmetry_space_group_name_Hall 'F -4 2 3'
loop_
_atom_site_label
_atom_site_type_symbol
_atom_site_fract_x
_atom_site_fract_y
_atom_site_fract_z
Lu1 Lu 0.0000 0.0000 0.0000
Te1 Te 0.2500 0.2500 0.7500
Pd1 Pd 0.0000 0.0000 0.5000
Pd2 Pd 0.2500 0.2500 0.2500

# 2
# Lu2Te2Pd3 (PBE-GGA, optimized geometry)
# - DFT total energy: -5.25 eV/atom
# - Crystal system: orthorhombic
data_Lu2Te2Pd3
_cell_length_a 5.7763
_cell_length_b 8.4522
_cell_length_c 6.2806
_cell_angle_alpha 90.00
_cell_angle_beta 90.00
_cell_angle_gamma 90.00
_symmetry_space_group_name_H-M 'P m m n'
_symmetry_Int_Tables_number 59
loop_
_symmetry_equiv_pos_as_xyz
'x,y,z'
'-x,-y,-z'
'-x+1/2,-y+1/2,z'
'x+1/2,y+1/2,-z'
'x+1/2,-y,-z'
'-x+1/2,y,z'
'-x,y+1/2,-z'
'x,-y+1/2,z'
loop_
_atom_site_label
_atom_site_type_symbol
_atom_site_fract_x
_atom_site_fract_y
_atom_site_fract_z
Lu1 Lu 0.2500 0.2500 0.2222
Lu2 Lu 0.2500 0.7500 0.2658
Te1 Te 0.2500 0.0417 0.6448
Pd1 Pd 0.0000 0.0000 0.0000
Pd2 Pd 0.2500 0.7500 0.7997

# 3
# LuTlTe3Pd (PBE-GGA, optimized geometry)
# - Crystal system: orthorhombic
# - Relative energy among the computed polymorphs: 8 meV per atom
data_LuTlTe3Pd
_cell_length_a 16.0759
_cell_length_b 4.1869
_cell_length_c 11.0972
_cell_angle_alpha 90.00
_cell_angle_beta 90.00
_cell_angle_gamma 90.00
_symmetry_space_group_name_H-M 'P n m a'
_symmetry_Int_Tables_number 62
loop_
_symmetry_equiv_pos_as_xyz
'x,y,z'
'-x,-y,-z'
'-x+1/2,-y,z+1/2'
'x+1/2,y,-z+1/2'
'x+1/2,-y+1/2,-z+1/2'
'-x+1/2,y+1/2,z+1/2'
'-x,y+1/2,-z'
'x,-y+1/2,z'
loop_
_atom_site_label
_atom_site_type_symbol
_atom_site_fract_x
_atom_site_fract_y
_atom_site_fract_z
Lu1 Lu 0.0204 0.2500 0.1650
Tl1 Tl 0.2334 0.2500 0.4578
Te1 Te 0.0920 0.7500 0.6043
Te2 Te 0.1026 0.2500 0.9242
Te3 Te 0.1441 0.7500 0.2467
Pd1 Pd 0.0099 0.7500 0.3936

# 4
# LuTlTe3Pd (PBE-GGA, optimized geometry)
# - Crystal system: monoclinic
# - Relative energy among the computed polymorphs: 16 meV per atom
data_LuTlTe3Pd
_cell_length_a 8.8864
_cell_length_b 4.1667
_cell_length_c 10.8722
_cell_angle_alpha 90.00
_cell_angle_beta 112.78
_cell_angle_gamma 90.00
_symmetry_space_group_name_H-M 'P 1 21/m 1'
_symmetry_Int_Tables_number 11
loop_
_symmetry_equiv_pos_as_xyz
'x,y,z'
'-x,-y,-z'
'-x,y+1/2,-z'
'x,-y+1/2,z'
loop_
_atom_site_label
_atom_site_type_symbol
_atom_site_fract_x
_atom_site_fract_y
_atom_site_fract_z
Lu1 Lu 0.1962 0.2500 0.1540
Tl1 Tl 0.2330 0.7500 0.7050
Te1 Te 0.0590 0.2500 0.8571
Te2 Te 0.2725 0.2500 0.4603
Te3 Te 0.4419 0.7500 0.1525
Pd1 Pd 0.4063 0.7500 0.3871

# 5
# LuTlTe3Pd (PBE-GGA, optimized geometry)
# - Crystal system: orthorhombic
# - Relative energy among the computed polymorphs: 0 meV per atom
data_LuTlTe3Pd
_cell_length_a 4.1781
_cell_length_b 16.7270
_cell_length_c 10.4042
_cell_angle_alpha 90.00
_cell_angle_beta 90.00
_cell_angle_gamma 90.00
_symmetry_space_group_name_H-M 'C m c m'
_symmetry_Int_Tables_number 63
_symmetry_space_group_name_Hall '-C 2c 2'
loop_
_atom_site_label
_atom_site_type_symbol
_atom_site_fract_x
_atom_site_fract_y
_atom_site_fract_z
Lu1 Lu 0.0000 0.0000 0.0000
Tl1 Tl 0.0000 0.2405 0.2500
Te1 Te 0.0000 0.0904 0.7500
Te2 Te 0.0000 0.3742 0.5676
Pd1 Pd 0.0000 0.4864 0.7500

# 6
# Tm2Lu5Te2Pd2 (PBE-GGA, optimized geometry)
# - DFT total energy: -5.22 eV/atom
# - Crystal system: orthorhombic
data_Tm2Lu5Te2Pd2
_cell_length_a 3.8784
_cell_length_b 15.3751
_cell_length_c 9.5085
_cell_angle_alpha 90.00
_cell_angle_beta 90.00
_cell_angle_gamma 90.00
_symmetry_space_group_name_H-M 'I m m 2'
_symmetry_Int_Tables_number 44
loop_
_symmetry_equiv_pos_as_xyz
'x,y,z'
'-x,-y,z'
'-x,y,z'
'x,-y,z'
'x+1/2,y+1/2,z+1/2'
'-x+1/2,-y+1/2,z+1/2'
'-x+1/2,y+1/2,z+1/2'
'x+1/2,-y+1/2,z+1/2'
loop_
_atom_site_label
_atom_site_type_symbol
_atom_site_fract_x
_atom_site_fract_y
_atom_site_fract_z
Tm1 Tm 0.0000 0.1305 0.0000
Lu1 Lu 0.0000 0.0000 0.4181
Lu2 Lu 0.0000 0.3169 0.7910
Lu3 Lu 0.0000 0.3564 0.1498
Te1 Te 0.0000 0.0000 0.7552
Te2 Te 0.0000 0.5000 0.6525
Pd1 Pd 0.0000 0.2352 0.4864

# 7
# TmLu6Te2Pd2 (PBE-GGA, optimized geometry)
# - DFT total energy: -5.23 eV/atom
# - Crystal system: orthorhombic
data_TmLu6Te2Pd2
_cell_length_a 3.8761
_cell_length_b 15.3665
_cell_length_c 9.4656
_cell_angle_alpha 90.00
_cell_angle_beta 90.00
_cell_angle_gamma 90.00
_symmetry_space_group_name_H-M 'I m m 2'
_symmetry_Int_Tables_number 44
loop_
_symmetry_equiv_pos_as_xyz
'x,y,z'
'-x,-y,z'
'-x,y,z'
'x,-y,z'
'x+1/2,y+1/2,z+1/2'
'-x+1/2,-y+1/2,z+1/2'
'-x+1/2,y+1/2,z+1/2'
'x+1/2,-y+1/2,z+1/2'
loop_
_atom_site_label
_atom_site_type_symbol
_atom_site_fract_x
_atom_site_fract_y
_atom_site_fract_z
Tm1 Tm 0.0000 0.0000 0.0000
Lu1 Lu 0.0000 0.1309 0.5828
Lu2 Lu 0.0000 0.3168 0.3729
Lu3 Lu 0.0000 0.3562 0.7333
Te1 Te 0.0000 0.0000 0.3391
Te2 Te 0.0000 0.5000 0.2333
Pd1 Pd 0.0000 0.2364 0.0688

# 8
# YTm2Lu4Te2Pd2 (PBE-GGA, optimized geometry)
# - DFT total energy: -5.42 eV/atom
# - Crystal system: orthorhombic
data_YTm2Lu4Te2Pd2
_cell_length_a 3.8956
_cell_length_b 15.4701
_cell_length_c 9.4798
_cell_angle_alpha 90.00
_cell_angle_beta 90.00
_cell_angle_gamma 90.00
_symmetry_space_group_name_H-M 'I m m 2'
_symmetry_Int_Tables_number 44
loop_
_symmetry_equiv_pos_as_xyz
'x,y,z'
'-x,-y,z'
'-x,y,z'
'x,-y,z'
'x+1/2,y+1/2,z+1/2'
'-x+1/2,-y+1/2,z+1/2'
'-x+1/2,y+1/2,z+1/2'
'x+1/2,-y+1/2,z+1/2'
loop_
_atom_site_label
_atom_site_type_symbol
_atom_site_fract_x
_atom_site_fract_y
_atom_site_fract_z
Y1 Y 0.0000 0.0000 0.0000
Tm1 Tm 0.0000 0.1299 0.4167
Lu1 Lu 0.0000 0.3164 0.6255
Lu2 Lu 0.0000 0.3550 0.2650
Te1 Te 0.0000 0.0000 0.6627
Te2 Te 0.0000 0.5000 0.7652
Pd1 Pd 0.0000 0.2368 0.9299

# 9
# YTm4Lu2Te2Pd2 (PBE-GGA, optimized geometry)
# - DFT total energy: -5.41 eV/atom
# - Crystal system: orthorhombic
data_YTm4Lu2Te2Pd2
_cell_length_a 3.9018
_cell_length_b 15.4815
_cell_length_c 9.5043
_cell_angle_alpha 90.00
_cell_angle_beta 90.00
_cell_angle_gamma 90.00
_symmetry_space_group_name_H-M 'I m m 2'
_symmetry_Int_Tables_number 44
loop_
_symmetry_equiv_pos_as_xyz
'x,y,z'
'-x,-y,z'
'-x,y,z'
'x,-y,z'
'x+1/2,y+1/2,z+1/2'
'-x+1/2,-y+1/2,z+1/2'
'-x+1/2,y+1/2,z+1/2'
'x+1/2,-y+1/2,z+1/2'
loop_
_atom_site_label
_atom_site_type_symbol
_atom_site_fract_x
_atom_site_fract_y
_atom_site_fract_z
Y1 Y 0.0000 0.0000 0.0000
Tm1 Tm 0.0000 0.1303 0.4160
Tm2 Tm 0.0000 0.3547 0.2634
Lu1 Lu 0.0000 0.3168 0.6250
Te1 Te 0.0000 0.0000 0.6615
Te2 Te 0.0000 0.5000 0.7653
Pd1 Pd 0.0000 0.2376 0.9310

# 10
# LuThPd (PBE-GGA, optimized geometry)
# - Crystal system: cubic
# - DFT formation energy: -0.3380 eV/atom
# - Relative energy among the computed polymorphs: 0 meV per atom
data_LuThPd
_cell_length_a 6.9481
_cell_length_b 6.9481
_cell_length_c 6.9481
_cell_angle_alpha 90.00
_cell_angle_beta 90.00
_cell_angle_gamma 90.00
_symmetry_space_group_name_H-M 'F -4 3 m'
_symmetry_Int_Tables_number 216
_symmetry_space_group_name_Hall 'F -4 2 3'
loop_
_atom_site_label
_atom_site_type_symbol
_atom_site_fract_x
_atom_site_fract_y
_atom_site_fract_z
Lu1 Lu 0.0000 0.0000 0.0000
Th1 Th 0.0000 0.0000 0.5000
Pd1 Pd 0.2500 0.2500 0.2500

# 11
# LuTlPd2 (PBE-GGA, optimized geometry)
# - DFT total energy: -4.79 eV/atom
# - Crystal system: cubic
data_LuTlPd2
_cell_length_a 6.7701
_cell_length_b 6.7701
_cell_length_c 6.7701
_cell_angle_alpha 90.00
_cell_angle_beta 90.00
_cell_angle_gamma 90.00
_symmetry_space_group_name_H-M 'F -4 3 m'
_symmetry_Int_Tables_number 216
_symmetry_space_group_name_Hall 'F -4 2 3'
loop_
_atom_site_label
_atom_site_type_symbol
_atom_site_fract_x
_atom_site_fract_y
_atom_site_fract_z
Lu1 Lu 0.0000 0.0000 0.0000
Tl1 Tl 0.2500 0.2500 0.7500
Pd1 Pd 0.0000 0.0000 0.5000
Pd2 Pd 0.2500 0.2500 0.2500

# 12
# LuTlPd (PBE-GGA, optimized geometry)
# - DFT total energy: -4.13 eV/atom
# - Crystal system: cubic
data_LuTlPd
_cell_length_a 6.6911
_cell_length_b 6.6911
_cell_length_c 6.6911
_cell_angle_alpha 90.00
_cell_angle_beta 90.00
_cell_angle_gamma 90.00
_symmetry_space_group_name_H-M 'F -4 3 m'
_symmetry_Int_Tables_number 216
_symmetry_space_group_name_Hall 'F -4 2 3'
loop_
_atom_site_label
_atom_site_type_symbol
_atom_site_fract_x
_atom_site_fract_y
_atom_site_fract_z
Lu1 Lu 0.0000 0.0000 0.0000
Tl1 Tl 0.2500 0.2500 0.2500
Pd1 Pd 0.0000 0.0000 0.5000